No. 1
The following is a DFT calculation (PBE) of ScCuSnPt after structural relaxation.

Cell lengths 4.614, 4.614, 4.614 Å; angles 60.00, 60.00, 60.00 degrees
Positions (direct):
Sc (0.000, 0.000, 0.000)
Pt (0.250, 0.250, 0.250)
Cu (0.750, 0.750, 0.750)
Sn (0.500, 0.500, 0.500)

Computed properties:
Crystal system: cubic
ρ (Mg/m³): 10.1
Raw total energy (eV/atom): -5.707


No. 2
The following is a DFT calculation (PBE) of Hf2HgSe4 after structural relaxation.

Cell lengths 10.425, 10.425, 6.490 Å; angles 107.91, 107.91, 20.70 degrees
Positions (direct):
Se (0.669, 0.669, 0.336)
Se (0.831, 0.831, 0.162)
Se (0.169, 0.169, 0.838)
Se (0.331, 0.331, 0.664)
Hf (0.251, 0.251, 0.251)
Hf (0.749, 0.749, 0.749)
Hg (0.000, 0.000, 0.000)

Computed properties:
Crystal system: monoclinic
ρ (Mg/m³): 6.1
Raw total energy (eV/atom): -6.020


No. 3
The following is a DFT calculation (PBE) of GdTmTc after structural relaxation.

Cell lengths 4.749, 4.749, 4.749 Å; angles 60.00, 60.00, 60.00 degrees
Positions (direct):
Tc (0.750, 0.750, 0.750)
Tm (0.000, 0.000, 0.000)
Gd (0.250, 0.250, 0.250)

Computed properties:
Crystal system: cubic
ρ (Mg/m³): 9.3
DFT formation energy (meV per atom): 903
Raw total energy (eV/atom): -5.593


No. 4
The following is a DFT calculation (PBE) of HoMg2 after structural relaxation.

Cell lengths 6.012, 6.012, 6.012 Å; angles 60.00, 60.00, 60.00 degrees
Positions (direct):
Mg (0.625, 0.125, 0.625)
Mg (0.125, 0.625, 0.625)
Mg (0.625, 0.625, 0.625)
Mg (0.625, 0.625, 0.125)
Ho (0.000, 0.000, 0.000)
Ho (0.250, 0.250, 0.250)

Computed properties:
Crystal system: cubic
ρ (Mg/m³): 4.6
Raw total energy (eV/atom): -2.622


No. 5
The following is a DFT calculation (PBE) of Re5W8 after structural relaxation.

Cell lengths 9.686, 9.686, 9.686 Å; angles 30.75, 30.75, 30.75 degrees
Positions (direct):
W (0.910, 0.414, 0.910)
W (0.586, 0.090, 0.090)
W (0.545, 0.545, 0.545)
W (0.455, 0.455, 0.455)
W (0.910, 0.910, 0.414)
W (0.090, 0.586, 0.090)
W (0.414, 0.910, 0.910)
W (0.090, 0.090, 0.586)
Re (0.167, 0.167, 0.167)
Re (0.350, 0.350, 0.350)
Re (0.650, 0.650, 0.650)
Re (0.000, 0.000, 0.000)
Re (0.833, 0.833, 0.833)

Computed properties:
Crystal system: trigonal
ρ (Mg/m³): 18.9
DFT formation energy (meV per atom): 405
Raw total energy (eV/atom): -12.349


No. 6
The following is a DFT calculation (PBE) of NiIr2Se5 after structural relaxation.

Cell lengths 6.512, 6.512, 15.485 Å; angles 90.03, 90.03, 147.35 degrees
Site moments in Bohr magnetons follow the coordinates.
Positions (direct):
Ir (0.219, 0.782, 0.105)  0.10
Ir (0.781, 0.218, 0.895)  0.10
Ir (0.782, 0.219, 0.605)  0.10
Ir (0.218, 0.781, 0.395)  0.10
Se (0.840, 0.160, 0.051)  0.02
Se (0.413, 0.589, 0.639)  0.02
Se (0.589, 0.413, 0.139)  0.02
Se (0.411, 0.587, 0.861)  0.02
Se (0.325, 0.675, 0.250)  0.03
Se (0.160, 0.840, 0.551)  0.02
Se (0.587, 0.411, 0.361)  0.02
Se (0.675, 0.325, 0.750)  0.03
Se (0.840, 0.160, 0.449)  0.02
Se (0.160, 0.840, 0.949)  0.02
Ni (0.705, 0.295, 0.250)  0.27
Ni (0.295, 0.705, 0.750)  0.27

Computed properties:
Crystal system: monoclinic
ρ (Mg/m³): 7.9
Raw total energy (eV/atom): -5.337